# 1
PBE ZnGaO2, relaxed; total DFT energy (no corrections) = -4.582 eV per atom; space group = No. 166; magnetic moment = 0.0 μB/cell; formation energy (no corrections) = -1.03 eV per atom
1.0
1.8038 0.0000 5.8052
-0.9019 1.5622 5.8052
-0.9019 -1.5622 5.8052
Zn O Ga
1 2 1
Cartesian
0.0000 0.0000 8.7078
0.0000 0.0000 15.5947
0.0000 0.0000 1.8209
0.0000 0.0000 0.0000

=====

# 2
PBE Nd3SmHoTm, relaxed; total DFT energy (no corrections) = -4.660 eV per atom; space group = No. 63; magnetic moment = 0.0 μB/cell
1.0
-2.6508 3.7217 -2.2740
4.3215 -3.8734 -5.6493
-7.7589 -6.4504 -1.5127
Nd Sm Ho Tm
6 2 2 2
Cartesian
-4.2075 -2.0303 -4.1458
-1.8807 -4.5718 -5.2901
-5.7548 -7.7926 -6.0454
-0.3333 1.1905 -3.3905
-4.8192 -5.5095 -3.3995
-1.2689 -1.0926 -6.0364
-3.8795 -3.2252 -0.7563
0.0000 0.0000 0.0000
-2.8328 -6.8438 -7.8986
-3.2553 0.2417 -1.5373
-5.1376 -4.3250 -6.8172
-0.9505 -2.2771 -2.6187

=====

# 3
PBE TcP2Pb, relaxed; total DFT energy (no corrections) = -5.526 eV per atom; space group = No. 12; magnetic moment = 0.0 μB/cell
1.0
-2.3663 4.9996 -1.2838
-2.8029 -3.4784 1.4337
-1.3985 1.5027 2.9413
P Pb Tc
2 1 1
Cartesian
0.0000 0.0000 0.0000
-1.8824 3.2512 0.8288
-2.1007 -0.9878 2.1875
-2.5846 0.7606 0.0749

=====

# 4
PBE Li2TbCd9, relaxed; total DFT energy (no corrections) = -1.583 eV per atom; space group = No. 123; magnetic moment = 0.0 μB/cell
1.0
-0.9733 4.3749 0.0088
-4.2898 -0.9525 -0.8816
-2.5164 -0.5859 12.8771
Li Tb Cd
2 1 9
Cartesian
-0.8495 -0.1978 4.3473
-1.6669 -0.3881 8.5298
0.0000 0.0000 0.0000
-2.6315 1.7112 -0.4364
-3.4931 1.5106 3.9725
-4.2864 1.3259 8.0318
-0.9396 2.0820 2.3224
-1.7448 1.8945 6.4430
-2.5501 1.7071 10.5636
-2.5979 -0.5817 1.8771
-3.4031 -0.7692 5.9977
-4.2084 -0.9567 10.1183

=====

> Which value of total DFT energy (no corrections) does entry 4 give?

-1.583 eV per atom

=====

> What is the formula in the first record?

ZnGaO2

=====

> Which value of magnetic moment does entry 1 give?

0.0 μB/cell